[1]
NdThAlTl: optimized geometry, GGA-PBE.

The space group is F-43m (No. 216) and the conventional cell measures 7.661, 7.661 and 7.661 Å, with angles of 90.00, 90.00 and 90.00 degrees. The inequivalent atoms are Nd at (0.000, 0.000, 0.000), Th at (0.000, 0.000, 0.500), Al at (0.250, 0.250, 0.750) and Tl at (0.250, 0.250, 0.250).

The value obtained for the formation energy is -0.19 eV per atom. The calculation puts the energy at -4.766 eV per atom. As for the density of states at the Fermi level: 0.898 states/eV per atom.

[2]
CsKTlBi2: optimized geometry, GGA-PBE.

The space group is P4/mmm (No. 123) and the conventional cell measures 6.125, 6.125 and 6.637 Å, with angles of 90.00, 90.00 and 90.00 degrees. The inequivalent atoms are Cs at (0.000, 0.000, 0.000), K at (0.500, 0.500, 0.000), Tl at (0.000, 0.000, 0.500) and Bi at (0.000, 0.500, 0.500).

The value obtained for the formation energy is 0.07 eV per atom. The value obtained for the energy above the most stable polymorph in this dataset is 289 meV per atom. The calculation puts the energy at -2.348 eV per atom. As for the density of states at the Fermi level: 0.578 states/eV per atom.

[3]
CrCoMoC2: optimized geometry, GGA-PBE.

The space group is P4/mmm (No. 123) and the conventional cell measures 3.732, 3.732 and 4.210 Å, with angles of 90.00, 90.00 and 90.00 degrees. The inequivalent atoms are Cr at (0.000, 0.000, 0.000), Co at (0.000, 0.000, 0.500), Mo at (0.500, 0.500, 0.500) and C at (0.000, 0.500, 0.000).

The value obtained for the formation energy is 1.69 eV per atom. The value obtained for the energy above the most stable polymorph in this dataset is 0 meV per atom. The calculation puts the energy at -7.507 eV per atom. As for the density of states at the Fermi level: 1.531 states/eV per atom.

[4]
Pb2WCl: optimized geometry, GGA-PBE.

The space group is R3m (No. 160, hexagonal axes) and the conventional cell measures 3.2384, 3.2384 and 34.0117 Å, with angles of 90.00, 90.00 and 120.00 degrees. The inequivalent atoms are Pb at (0.0000, 0.0000, 0.0000), Pb at (0.0000, 0.0000, 0.2352), W at (0.0000, 0.0000, 0.7389) and Cl at (0.0000, 0.0000, 0.4525).

The value obtained for the energy above the most stable polymorph in this dataset is 0 meV per atom. The calculation puts the energy at -5.204 eV per atom. As for the density of states at the Fermi level: 0.980 states/eV per atom. The value obtained for the formation energy from raw total energies is 0.350 eV per atom.